1.
CrCoI2O: single point on PBEsol structure, SCAN.

Structure (extended XYZ):
```
5
Lattice="5.328 0.000 0.000 0.000 5.328 0.000 0.000 0.000 3.487" Properties=species:S:1:pos:R:3 pbc="T T T"
Cr 0.000 0.000 0.000
Co 2.664 2.664 1.744
I 0.000 2.664 1.744
I 2.664 0.000 1.744
O 2.664 2.664 0.000
```

Raw formation energy in eV/f.u.: -0.72
Total energy in eV per formula unit: -116.118
Symmetry: P4/mmm
Total magnetic moment in Bohr magnetons per cell: 1.81
Density of states at the Fermi level in states/eV/atom: 0.603

=====

2.
CrCoS2I: single point on PBEsol structure, SCAN.

Structure (extended XYZ):
```
5
Lattice="4.238 0.000 0.000 0.000 4.238 0.000 0.000 0.000 5.711" Properties=species:S:1:pos:R:3 pbc="T T T"
Cr 0.000 0.000 0.000
Co 2.119 2.119 2.856
S 0.000 2.119 0.000
S 2.119 0.000 0.000
I 0.000 0.000 2.856
```

Raw formation energy in eV/f.u.: 1.61
Total energy in eV per formula unit: -90.076
Symmetry: P4/mmm
Total magnetic moment in Bohr magnetons per cell: 0.17
Density of states at the Fermi level in states/eV/atom: 0.516

=====

3.
CrCoTeI2: single point on PBEsol structure, SCAN.

Structure (extended XYZ):
```
5
Lattice="5.356 0.000 0.000 0.000 5.356 0.000 0.000 0.000 5.178" Properties=species:S:1:pos:R:3 pbc="T T T"
Cr 0.000 0.000 0.000
Co 2.678 2.678 2.589
Te 0.000 0.000 2.589
I 0.000 2.678 0.000
I 2.678 0.000 0.000
```

Raw formation energy in eV/f.u.: 3.13
Total energy in eV per formula unit: -143.293
Symmetry: P4/mmm
Total magnetic moment in Bohr magnetons per cell: 6.31
Density of states at the Fermi level in states/eV/atom: 1.293

=====

4.
CrIn2Co: single point on PBEsol structure, SCAN.

Structure (extended XYZ):
```
4
Lattice="0.000 3.180 3.180 3.180 0.000 3.180 3.180 3.180 0.000" Properties=species:S:1:pos:R:3 pbc="T T T"
Cr 0.000 0.000 0.000
In 3.180 3.180 3.180
In 4.770 4.770 4.770
Co 1.590 1.590 1.590
```

Total energy in eV per formula unit: -101.126
Symmetry: F-43m
Energy of formation in eV/f.u.: 1.34
Total magnetic moment in Bohr magnetons per cell: 5.44
Density of states at the Fermi level in states/eV/atom: 0.448

=====

5.
CrIn2Co: single point on PBEsol structure, SCAN.

Structure (extended XYZ):
```
4
Lattice="-2.169 2.169 3.341 2.169 -2.169 3.341 2.169 2.169 -3.341" Properties=species:S:1:pos:R:3 pbc="T T T"
Cr 0.000 0.000 0.000
In 2.169 0.000 1.670
In 0.000 2.169 1.670
Co 0.000 0.000 3.341
```

Total energy in eV per formula unit: -101.941
Symmetry: I4/mmm
Energy of formation in eV/f.u.: 0.52
Total magnetic moment in Bohr magnetons per cell: 2.55
Density of states at the Fermi level in states/eV/atom: 0.286

=====

6.
Cr2InCo: single point on PBEsol structure, SCAN.

Structure (extended XYZ):
```
4
Lattice="4.464 -1.419 0.000 4.464 1.419 0.000 -1.116 0.000 4.205" Properties=species:S:1:pos:R:3 pbc="T T T"
Cr 1.904 0.000 0.750
Cr 5.909 0.000 3.454
In -0.558 0.000 2.102
Co 4.464 0.000 0.000
```

Total energy in eV per formula unit: -85.830
Symmetry: C2/m
Energy of formation in eV/f.u.: 1.63
Total magnetic moment in Bohr magnetons per cell: 1.56
Density of states at the Fermi level in states/eV/atom: 0.782

=====

7.
CrIn2Co: single point on PBEsol structure, SCAN.

Structure (extended XYZ):
```
4
Lattice="2.894 0.000 0.000 0.000 2.894 0.000 0.000 0.000 7.738" Properties=species:S:1:pos:R:3 pbc="T T T"
Cr 0.000 0.000 0.000
In 0.000 0.000 4.710
In 1.447 1.447 1.937
Co 1.447 1.447 6.564
```

Total energy in eV per formula unit: -101.317
Symmetry: P4mm
Energy of formation in eV/f.u.: 1.14
Total magnetic moment in Bohr magnetons per cell: 3.11
Density of states at the Fermi level in states/eV/atom: 0.581

=====

8.
Cr2InCo: single point on PBEsol structure, SCAN.

Structure (extended XYZ):
```
4
Lattice="2.861 0.000 0.000 0.000 2.869 0.000 -0.232 0.000 6.370" Properties=species:S:1:pos:R:3 pbc="T T T"
Cr 0.000 0.000 0.000
Cr 1.115 1.435 1.263
In 2.569 0.000 3.223
Co 1.123 1.435 4.989
```

Total energy in eV per formula unit: -86.638
Symmetry: Pm
Energy of formation in eV/f.u.: 0.82
Total magnetic moment in Bohr magnetons per cell: 0.46
Density of states at the Fermi level in states/eV/atom: 0.537

=====

9.
Cr2InCo: single point on PBEsol structure, SCAN.

Structure (extended XYZ):
```
4
Lattice="-1.530 2.150 4.036 1.530 -2.150 4.036 1.530 2.150 -4.036" Properties=species:S:1:pos:R:3 pbc="T T T"
Cr 0.000 0.000 0.000
Cr 0.000 2.150 2.329
In 1.530 0.000 2.219
Co 0.000 0.000 4.346
```

Total energy in eV per formula unit: -86.640
Symmetry: Imm2
Energy of formation in eV/f.u.: 0.82
Total magnetic moment in Bohr magnetons per cell: 1.55
Density of states at the Fermi level in states/eV/atom: 0.627

=====

10.
Cr2CoIr: single point on PBEsol structure, SCAN.

Structure (extended XYZ):
```
4
Lattice="2.581 0.000 0.000 0.000 3.547 0.000 0.000 0.000 5.088" Properties=species:S:1:pos:R:3 pbc="T T T"
Cr 0.000 0.000 1.170
Cr 0.000 0.000 3.918
Co 1.290 1.774 0.000
Ir 1.290 1.774 2.544
```

Total energy in eV per formula unit: -125.355
Symmetry: Pmmm
Energy of formation in eV/f.u.: -0.18
Total magnetic moment in Bohr magnetons per cell: 0.01
Density of states at the Fermi level in states/eV/atom: 0.648

=====

11.
Cr2CoIr: single point on PBEsol structure, SCAN.

Structure (extended XYZ):
```
4
Lattice="2.588 0.000 0.000 0.000 4.054 0.000 0.000 0.000 4.452" Properties=species:S:1:pos:R:3 pbc="T T T"
Cr 0.000 0.000 0.000
Cr 0.000 2.027 1.458
Co 1.294 0.000 2.091
Ir 1.294 2.027 3.673
```

Total energy in eV per formula unit: -125.360
Symmetry: Pmm2
Energy of formation in eV/f.u.: -0.19
Total magnetic moment in Bohr magnetons per cell: 0.10
Density of states at the Fermi level in states/eV/atom: 1.005

=====

12.
Cr2CoIr: single point on PBEsol structure, SCAN.

Structure (extended XYZ):
```
4
Lattice="-1.806 1.806 3.578 1.806 -1.806 3.578 1.806 1.806 -3.578" Properties=species:S:1:pos:R:3 pbc="T T T"
Cr 0.000 0.000 0.000
Cr 0.000 1.806 1.789
Co 1.806 0.000 1.789
Ir 0.000 0.000 3.578
```

Total energy in eV per formula unit: -125.626
Symmetry: I-4m2
Energy of formation in eV/f.u.: -0.45
Total magnetic moment in Bohr magnetons per cell: 0.30
Density of states at the Fermi level in states/eV/atom: 0.954

=====

13.
CrCoIr: single point on PBEsol structure, SCAN.

Structure (extended XYZ):
```
3
Lattice="-1.296 1.783 3.844 1.296 -1.783 3.844 1.296 1.783 -3.844" Properties=species:S:1:pos:R:3 pbc="T T T"
Cr 0.000 0.000 0.000
Co 0.000 0.000 2.604
Ir 0.000 0.000 5.141
```

Total energy in eV per formula unit: -107.029
Symmetry: Imm2
Energy of formation in eV/f.u.: -0.24
Total magnetic moment in Bohr magnetons per cell: 0.22
Density of states at the Fermi level in states/eV/atom: 0.926

=====

14.
Cr2CoIr: single point on PBEsol structure, SCAN.

Structure (extended XYZ):
```
4
Lattice="4.218 -1.294 0.000 4.218 1.294 0.000 -0.772 0.000 4.278" Properties=species:S:1:pos:R:3 pbc="T T T"
Cr 1.901 0.000 1.005
Cr 5.764 0.000 3.272
Co 4.218 0.000 0.000
Ir -0.386 0.000 2.139
```

Total energy in eV per formula unit: -124.852
Symmetry: C2/m
Energy of formation in eV/f.u.: 0.32
Total magnetic moment in Bohr magnetons per cell: 0.00
Density of states at the Fermi level in states/eV/atom: 1.037

=====

15.
Cr2CoIr: single point on PBEsol structure, SCAN.

Structure (extended XYZ):
```
4
Lattice="2.532 -3.595 0.000 2.532 3.595 0.000 0.000 0.000 2.575" Properties=species:S:1:pos:R:3 pbc="T T T"
Cr 1.266 1.798 0.000
Cr 1.266 -1.798 0.000
Co 0.000 0.000 1.288
Ir 2.532 0.000 1.288
```

Total energy in eV per formula unit: -125.264
Symmetry: Cmmm
Energy of formation in eV/f.u.: -0.09
Total magnetic moment in Bohr magnetons per cell: 0.01
Density of states at the Fermi level in states/eV/atom: 0.700

=====

16.
Cr2CoIr: single point on PBEsol structure, SCAN.

Structure (extended XYZ):
```
4
Lattice="2.564 0.000 0.000 0.000 2.564 0.000 0.000 0.000 7.102" Properties=species:S:1:pos:R:3 pbc="T T T"
Cr 0.000 0.000 1.674
Cr 0.000 0.000 5.428
Co 1.282 1.282 0.000
Ir 1.282 1.282 3.551
```

Total energy in eV per formula unit: -125.147
Symmetry: P4/mmm
Energy of formation in eV/f.u.: 0.03
Total magnetic moment in Bohr magnetons per cell: 0.05
Density of states at the Fermi level in states/eV/atom: 0.715

=====

17.
Cr2CoIr: single point on PBEsol structure, SCAN.

Structure (extended XYZ):
```
4
Lattice="1.412 -2.120 0.000 1.412 2.120 0.000 0.000 0.000 8.012" Properties=species:S:1:pos:R:3 pbc="T T T"
Cr 0.000 0.000 0.000
Cr 1.412 0.000 1.841
Co 0.000 0.000 3.732
Ir 1.412 0.000 5.886
```

Total energy in eV per formula unit: -124.517
Symmetry: Cmm2
Energy of formation in eV/f.u.: 0.66
Total magnetic moment in Bohr magnetons per cell: 1.89
Density of states at the Fermi level in states/eV/atom: 1.034

=====

18.
CrCoIr: single point on PBEsol structure, SCAN.

Structure (extended XYZ):
```
3
Lattice="0.000 2.727 2.727 2.727 0.000 2.727 2.727 2.727 0.000" Properties=species:S:1:pos:R:3 pbc="T T T"
Cr 0.000 0.000 0.000
Co 1.363 1.363 1.363
Ir 4.090 4.090 4.090
```

Total energy in eV per formula unit: -105.909
Symmetry: F-43m
Energy of formation in eV/f.u.: 0.88
Total magnetic moment in Bohr magnetons per cell: 0.00
Density of states at the Fermi level in states/eV/atom: 0.408

=====

19.
MnCrCoIr2: single point on PBEsol structure, SCAN.

Structure (extended XYZ):
```
5
Lattice="4.391 0.000 0.000 0.000 4.391 0.000 0.000 0.000 4.093" Properties=species:S:1:pos:R:3 pbc="T T T"
Mn 0.000 0.000 0.000
Cr 0.000 0.000 2.047
Co 2.196 2.196 2.047
Ir 0.000 2.196 0.000
Ir 2.196 0.000 0.000
```

Total energy in eV per formula unit: -190.089
Symmetry: P4/mmm
Energy of formation in eV/f.u.: 6.05
Total magnetic moment in Bohr magnetons per cell: 4.71
Density of states at the Fermi level in states/eV/atom: 0.906

=====

20.
KCrCo2: single point on PBEsol structure, SCAN.

Structure (extended XYZ):
```
4
Lattice="1.310 0.756 9.182 -1.310 0.756 9.182 0.000 -1.513 9.182" Properties=species:S:1:pos:R:3 pbc="T T T"
K 0.000 0.000 0.000
Cr 0.000 0.000 13.773
Co 0.000 0.000 6.428
Co 0.000 0.000 21.118
```

Total energy in eV per formula unit: -57.481
Symmetry: R-3m
Energy of formation in eV/f.u.: 3.84
Total magnetic moment in Bohr magnetons per cell: 4.46
Density of states at the Fermi level in states/eV/atom: 0.649